No. 1
First-principles (PBE with a Hubbard U) data for crystalline KY2VO at its relaxed geometry, as listed in the Alexandria database.

a = 5.4353 Å, b = 5.4353 Å, c = 6.0754 Å
α = 90.00°, β = 90.00°, γ = 90.00°
Fractional coordinates of all 5 atoms:
K  0.0000  0.0000  0.0000
Y  0.0000  0.5000  0.5000
Y  0.5000  0.0000  0.5000
V  0.0000  0.0000  0.5000
O  0.5000  0.5000  0.0000

Results
The total magnetic moment is 5.511 μB per formula unit. Its energy is -4.097 eV per atom. Its crystal system is tetragonal.

---

No. 2
First-principles (PBE with a Hubbard U) data for crystalline KYV2O6 at its relaxed geometry, as listed in the Alexandria database.

a = 6.4576 Å, b = 6.4576 Å, c = 6.4576 Å
α = 50.36°, β = 50.36°, γ = 50.36°
Fractional coordinates of all 10 atoms:
K  0.0000  0.0000  0.0000
Y  0.5000  0.5000  0.5000
V  0.3223  0.3223  0.3223
V  0.6777  0.6777  0.6777
O  0.0782  0.6218  0.5060
O  0.3782  0.4940  0.9218
O  0.4940  0.9218  0.3782
O  0.5060  0.0782  0.6218
O  0.6218  0.5060  0.0782
O  0.9218  0.3782  0.4940

Results
The total magnetic moment is 2.000 μB per formula unit. Its energy is -7.468 eV per atom. Its crystal system is trigonal.

---

Copy entry 2 word for word.
First-principles (PBE with a Hubbard U) data for crystalline KYV2O6 at its relaxed geometry, as listed in the Alexandria database.

a = 6.4576 Å, b = 6.4576 Å, c = 6.4576 Å
α = 50.36°, β = 50.36°, γ = 50.36°
Fractional coordinates of all 10 atoms:
K  0.0000  0.0000  0.0000
Y  0.5000  0.5000  0.5000
V  0.3223  0.3223  0.3223
V  0.6777  0.6777  0.6777
O  0.0782  0.6218  0.5060
O  0.3782  0.4940  0.9218
O  0.4940  0.9218  0.3782
O  0.5060  0.0782  0.6218
O  0.6218  0.5060  0.0782
O  0.9218  0.3782  0.4940

Results
The total magnetic moment is 2.000 μB per formula unit. Its energy is -7.468 eV per atom. Its crystal system is trigonal.